No. 1
Zn2ReW: relaxed, PBE.

It has space group P4mm (No. 99), with a = 3.209 Å, b = 3.209 Å, c = 5.906 Å, α = 90.00°, β = 90.00° and γ = 90.00°. The inequivalent atoms are Zn at (0.000, 0.000, 0.000), Zn at (0.500, 0.500, 0.218), Re at (0.000, 0.000, 0.499) and W at (0.500, 0.500, 0.713).

For the formation energy, the calculation gives 0.18 eV/atom. For the electronic total energy, the calculation gives -27.2 eV for the cell shown. The energy above the most stable polymorph in this dataset is 0 meV/atom.


No. 2
ZnReW2: relaxed, PBE.

It has space group R3m (No. 160, hexagonal axes), with a = 2.7947 Å, b = 2.7947 Å, c = 27.7228 Å, α = 90.00°, β = 90.00° and γ = 120.00°. The inequivalent atoms are Zn at (0.0000, 0.0000, 0.0000), Re at (0.0000, 0.0000, 0.7477), W at (0.0000, 0.0000, 0.2499) and W at (0.0000, 0.0000, 0.4959).

For the formation energy, the calculation gives 0.32 eV/atom. For the electronic total energy, the calculation gives -115.0 eV for the cell shown.


No. 3
Zn2ReW: relaxed, PBE.

It has space group Pmmm (No. 47), with a = 3.139 Å, b = 4.308 Å, c = 4.428 Å, α = 90.00°, β = 90.00° and γ = 90.00°. The inequivalent atoms are Zn at (0.000, 0.000, 0.000), Zn at (0.500, 0.500, 0.000), Re at (0.000, 0.500, 0.500) and W at (0.500, 0.000, 0.500).

For the formation energy, the calculation gives 0.26 eV/atom. For the electronic total energy, the calculation gives -26.9 eV for the cell shown. The energy above the most stable polymorph in this dataset is 82 meV/atom.


No. 4
ZnReW2: relaxed, PBE.

It has space group Cmm2 (No. 35), with a = 3.157 Å, b = 4.421 Å, c = 8.908 Å, α = 90.00°, β = 90.00° and γ = 90.00°. The inequivalent atoms are Zn at (0.000, 0.000, 0.000), Re at (0.000, 0.500, 0.249), W at (0.000, 0.000, 0.496) and W at (0.000, 0.500, 0.749).

For the formation energy, the calculation gives 0.18 eV/atom. For the electronic total energy, the calculation gives -77.8 eV for the cell shown.


No. 5
ZnReW2: relaxed, PBE.

It has space group R-3m (No. 166, hexagonal axes), with a = 2.8017 Å, b = 2.8017 Å, c = 27.5804 Å, α = 90.00°, β = 90.00° and γ = 120.00°. The inequivalent atoms are Zn at (0.0000, 0.0000, 0.0000), Re at (0.0000, 0.0000, 0.5000) and W at (0.0000, 0.0000, 0.2492).

For the formation energy, the calculation gives 0.29 eV/atom. For the electronic total energy, the calculation gives -115.4 eV for the cell shown.


No. 6
ZnReW2: relaxed, PBE.

It has space group I-42d (No. 122), with a = 7.310 Å, b = 7.310 Å, c = 5.268 Å, α = 90.00°, β = 90.00° and γ = 90.00°. The inequivalent atoms are Zn at (0.000, 0.000, 0.000), Re at (0.000, 0.000, 0.500) and W at (0.214, 0.250, 0.625).

For the formation energy, the calculation gives 0.96 eV/atom. For the electronic total energy, the calculation gives -143.1 eV for the cell shown.


No. 7
ZnReW2: relaxed, PBE.

It has space group Cmmm (No. 65), with a = 5.492 Å, b = 8.036 Å, c = 2.790 Å, α = 90.00°, β = 90.00° and γ = 90.00°. The inequivalent atoms are Zn at (0.000, 0.000, 0.000), Re at (0.000, 0.500, 0.000) and W at (0.250, 0.250, 0.500).

For the formation energy, the calculation gives 0.28 eV/atom. For the electronic total energy, the calculation gives -77.0 eV for the cell shown.


No. 8
Zn2ReW: relaxed, PBE.

It has space group R3m (No. 160, hexagonal axes), with a = 2.8048 Å, b = 2.8048 Å, c = 27.0380 Å, α = 90.00°, β = 90.00° and γ = 120.00°. The inequivalent atoms are Zn at (0.0000, 0.0000, 0.0000), Zn at (0.0000, 0.0000, 0.2490), Re at (0.0000, 0.0000, 0.4999) and W at (0.0000, 0.0000, 0.7521).

For the formation energy, the calculation gives 0.22 eV/atom. For the electronic total energy, the calculation gives -81.2 eV for the cell shown. The energy above the most stable polymorph in this dataset is 47 meV/atom.


No. 9
Zn2ReW: relaxed, PBE.

It has space group Immm (No. 71), with a = 3.168 Å, b = 4.281 Å, c = 8.818 Å, α = 90.00°, β = 90.00° and γ = 90.00°. The inequivalent atoms are Zn at (0.000, 0.000, 0.247), Re at (0.000, 0.500, 0.500) and W at (0.000, 0.500, 0.000).

For the formation energy, the calculation gives 0.26 eV/atom. For the electronic total energy, the calculation gives -53.8 eV for the cell shown. The energy above the most stable polymorph in this dataset is 88 meV/atom.


No. 10
ZnReW2: relaxed, PBE.

It has space group C2/m (No. 12), with a = 5.429 Å, b = 8.790 Å, c = 2.706 Å, α = 90.00°, β = 107.20° and γ = 90.00°. The inequivalent atoms are Zn at (0.000, 0.000, 0.000), Re at (0.000, 0.500, 0.000) and W at (0.250, 0.250, 0.500).

For the formation energy, the calculation gives 0.25 eV/atom. For the electronic total energy, the calculation gives -77.3 eV for the cell shown.


No. 11
ZnReW2: relaxed, PBE.

It has space group Pmmm (No. 47), with a = 3.416 Å, b = 4.224 Å, c = 4.236 Å, α = 90.00°, β = 90.00° and γ = 90.00°. The inequivalent atoms are Zn at (0.000, 0.000, 0.000), Re at (0.500, 0.500, 0.000), W at (0.000, 0.500, 0.500) and W at (0.500, 0.000, 0.500).

For the formation energy, the calculation gives 0.30 eV/atom. For the electronic total energy, the calculation gives -38.4 eV for the cell shown.


No. 12
Zn2ReW: relaxed, PBE.

It has space group Pm (No. 6), with a = 2.701 Å, b = 4.337 Å, c = 5.176 Å, α = 90.00°, β = 99.03° and γ = 90.00°. The inequivalent atoms are Zn at (0.000, 0.000, 0.000), Zn at (0.013, 0.500, 0.768), Re at (0.609, 0.500, 0.263) and W at (0.410, 0.000, 0.502).

For the formation energy, the calculation gives 0.18 eV/atom. For the electronic total energy, the calculation gives -27.2 eV for the cell shown. The energy above the most stable polymorph in this dataset is 0 meV/atom.


No. 13
Zn4ReW: relaxed, PBE.

It has space group F-43m (No. 216), with a = 6.916 Å, b = 6.916 Å, c = 6.916 Å, α = 90.00°, β = 90.00° and γ = 90.00°. The inequivalent atoms are Zn at (0.125, 0.125, 0.125), Re at (0.250, 0.250, 0.750) and W at (0.000, 0.000, 0.500).

For the formation energy, the calculation gives 0.20 eV/atom. For the electronic total energy, the calculation gives -117.1 eV for the cell shown.


No. 14
Zn2ReW: relaxed, PBE.

It has space group I-42d (No. 122), with a = 6.972 Å, b = 6.972 Å, c = 5.232 Å, α = 90.00°, β = 90.00° and γ = 90.00°. The inequivalent atoms are Zn at (0.246, 0.750, 0.125), Re at (0.000, 0.000, 0.000) and W at (0.000, 0.000, 0.500).

For the formation energy, the calculation gives 0.94 eV/atom. For the electronic total energy, the calculation gives -96.8 eV for the cell shown. The energy above the most stable polymorph in this dataset is 761 meV/atom.


No. 15
ZnReW2: relaxed, PBE.

It has space group I4/mmm (No. 139), with a = 3.912 Å, b = 3.912 Å, c = 8.013 Å, α = 90.00°, β = 90.00° and γ = 90.00°. The inequivalent atoms are Zn at (0.000, 0.000, 0.000), Re at (0.000, 0.000, 0.500) and W at (0.000, 0.500, 0.250).

For the formation energy, the calculation gives 0.31 eV/atom. For the electronic total energy, the calculation gives -76.8 eV for the cell shown.